The following is a PBE calculation of a geometry-optimized LaSm2F structure, from the Alexandria database.

Formation energy (no corrections)   -945 meV per atom

abc: 3.7103 3.7103 28.8330
angles: 90.00 90.00 120.00
Space group R-3m (No. 166, hexagonal axes)
Asymmetric unit:
La1 0.0000 0.0000 0.0000
Sm1 0.0000 0.0000 0.1186
F1 0.0000 0.0000 0.5000



The following is a PBE calculation of a geometry-optimized MgAl2Ru structure, from the Alexandria database.

ΔE_f   -13.5 kJ/mol of atoms

abc: 6.239 6.239 6.239
angles: 90.00 90.00 90.00
Space group F-43m (No. 216)
Asymmetric unit:
Mg1 0.000 0.000 0.000
Al1 0.000 0.000 0.500
Al2 0.250 0.250 0.750
Ru1 0.250 0.250 0.250



The following is a PBE calculation of a geometry-optimized Sm2YTh structure, from the Alexandria database.

Energy above the lowest structure with this stoichiometry   0.06 eV/f.u.
ΔE_f   3.1 kJ/mol of atoms

abc: 3.6059 3.6059 35.2693
angles: 90.00 90.00 120.00
Space group R-3m (No. 166, hexagonal axes)
Asymmetric unit:
Sm1 0.0000 0.0000 0.2485
Y1 0.0000 0.0000 0.0000
Th1 0.0000 0.0000 0.5000



The following is a PBE calculation of a geometry-optimized NaCeNp2Se4 structure, from the Alexandria database.

Formation energy (no corrections)   -1328 meV per atom

abc: 7.208 4.159 7.250
angles: 90.00 109.28 90.00
Space group P2/m (No. 10)
Asymmetric unit:
Na1 0.000 0.000 0.000
Ce1 0.500 0.500 0.000
Np1 0.000 0.500 0.500
Np2 0.500 0.000 0.500
Se1 0.246 0.000 0.743
Se2 0.253 0.500 0.257



Number 1: E -0.1839 hartree per atom. Number 2: E -0.1738 hartree per atom. Number 3: E -0.2131 hartree per atom. Number 4: E -0.2650 hartree per atom.